Model A:
{
  "formula": "Al5Tc",
  "functional": "PBE",
  "state": "optimized geometry",
  "spacegroup": "Cmmm",
  "cell": [[2.0703, -6.1804, 0.0000], [2.0703, 6.1804, 0.0000], [0.0000, 0.0000, 3.5546]],
  "species": ["Al", "Al", "Al", "Al", "Al", "Tc"],
  "fractional_positions": [[0.0000, 0.0000, 0.0000], [0.1610, 0.8390, 0.5000], [0.3356, 0.6644, 0.0000], [0.6644, 0.3356, 0.0000], [0.8390, 0.1610, 0.5000], [0.5000, 0.5000, 0.5000]]
}



Model B:
{
  "formula": "Al5Tc",
  "functional": "PBE",
  "state": "optimized geometry",
  "spacegroup": "Cm",
  "cell": [[4.8460, -1.6207, 0.0000], [4.8460, 1.6207, 0.0000], [-1.5911, 0.0000, 5.8888]],
  "species": ["Al", "Al", "Al", "Al", "Al", "Tc"],
  "fractional_positions": [[0.0000, 0.0000, 0.0000], [0.0270, 0.0270, 0.5494], [0.3310, 0.3310, 0.6547], [0.6735, 0.6735, 0.3211], [0.7127, 0.7127, 0.9059], [0.3749, 0.3749, 0.2371]]
}



Quick one: least stable of them? model A



Model A:
{
  "formula": "Al2Tc",
  "functional": "PBE",
  "state": "optimized geometry",
  "spacegroup": "P6_3/mmc",
  "cell": [[4.3937, 0.0000, 0.0000], [-2.1969, 3.8051, 0.0000], [0.0000, 0.0000, 5.2328]],
  "species": ["Al", "Al", "Al", "Al", "Tc", "Tc"],
  "fractional_positions": [[0.0000, 0.0000, 0.0000], [0.0000, 0.0000, 0.5000], [0.3333, 0.6667, 0.2500], [0.6667, 0.3333, 0.7500], [0.3333, 0.6667, 0.7500], [0.6667, 0.3333, 0.2500]]
}



Model B:
{
  "formula": "Al2Tc",
  "functional": "PBE",
  "state": "optimized geometry",
  "spacegroup": "I4/mmm",
  "cell": [[-1.3968, 1.3968, 5.8704], [1.3968, -1.3968, 5.8704], [1.3968, 1.3968, -5.8704]],
  "species": ["Al", "Al", "Tc"],
  "fractional_positions": [[0.1557, 0.1557, 0.0000], [0.8443, 0.8443, 0.0000], [0.5000, 0.5000, 0.0000]]
}



Quick one: least stable of them? model B



Model A:
{
  "formula": "Al2Tc",
  "functional": "PBE",
  "state": "optimized geometry",
  "spacegroup": "P-3m1",
  "cell": [[4.2779, 0.0000, 0.0000], [-2.1390, 3.7048, 0.0000], [0.0000, 0.0000, 2.7471]],
  "species": ["Al", "Al", "Tc"],
  "fractional_positions": [[0.3333, 0.6667, 0.1584], [0.6667, 0.3333, 0.8416], [0.0000, 0.0000, 0.5000]]
}



Model B:
{
  "formula": "Al2Tc",
  "functional": "PBE",
  "state": "optimized geometry",
  "spacegroup": "I4/mmm",
  "cell": [[-1.6005, 1.6005, 4.2592], [1.6005, -1.6005, 4.2592], [1.6005, 1.6005, -4.2592]],
  "species": ["Al", "Al", "Tc"],
  "fractional_positions": [[0.1583, 0.1583, 0.0000], [0.8417, 0.8417, 0.0000], [0.5000, 0.5000, 0.0000]]
}



Quick one: least stable of them? model A



Model A:
{
  "formula": "Al3Tc5",
  "functional": "PBE",
  "state": "optimized geometry",
  "spacegroup": "P6_3/mcm",
  "cell": [[7.3599, 0.0000, 0.0000], [-3.6800, 6.3739, 0.0000], [0.0000, 0.0000, 4.9470]],
  "species": ["Al", "Al", "Al", "Al", "Al", "Al", "Tc", "Tc", "Tc", "Tc", "Tc", "Tc", "Tc", "Tc", "Tc", "Tc"],
  "fractional_positions": [[0.0000, 0.3970, 0.2500], [0.0000, 0.6030, 0.7500], [0.3970, 0.0000, 0.2500], [0.3970, 0.3970, 0.7500], [0.6030, 0.0000, 0.7500], [0.6030, 0.6030, 0.2500], [0.0000, 0.2297, 0.7500], [0.0000, 0.7703, 0.2500], [0.2297, 0.0000, 0.7500], [0.2297, 0.2297, 0.2500], [0.3333, 0.6667, 0.0000], [0.3333, 0.6667, 0.5000], [0.6667, 0.3333, 0.0000], [0.6667, 0.3333, 0.5000], [0.7703, 0.0000, 0.2500], [0.7703, 0.7703, 0.7500]]
}



Model B:
{
  "formula": "Al3Tc5",
  "functional": "PBE",
  "state": "optimized geometry",
  "spacegroup": "I4/mcm",
  "cell": [[-4.8695, 4.8695, 2.4280], [4.8695, -4.8695, 2.4280], [4.8695, 4.8695, -2.4280]],
  "species": ["Al", "Al", "Al", "Al", "Al", "Al", "Tc", "Tc", "Tc", "Tc", "Tc", "Tc", "Tc", "Tc", "Tc", "Tc"],
  "fractional_positions": [[0.1764, 0.6764, 0.8529], [0.2500, 0.2500, 0.0000], [0.3236, 0.1764, 0.5000], [0.6764, 0.8236, 0.5000], [0.7500, 0.7500, 0.0000], [0.8236, 0.3236, 0.1471], [0.0687, 0.2340, 0.3027], [0.2340, 0.9313, 0.1652], [0.2500, 0.7500, 0.5000], [0.2660, 0.4313, 0.6973], [0.4313, 0.7340, 0.1652], [0.5687, 0.2660, 0.8348], [0.7340, 0.5687, 0.3027], [0.7500, 0.2500, 0.5000], [0.7660, 0.0687, 0.8348], [0.9313, 0.7660, 0.6973]]
}



Model C:
{
  "formula": "Al3Tc5",
  "functional": "PBE",
  "state": "optimized geometry",
  "spacegroup": "Cmmm",
  "cell": [[3.0658, -4.3100, 0.0000], [3.0658, 4.3100, 0.0000], [0.0000, 0.0000, 4.3275]],
  "species": ["Al", "Al", "Al", "Tc", "Tc", "Tc", "Tc", "Tc"],
  "fractional_positions": [[0.0000, 0.0000, 0.0000], [0.2530, 0.7470, 0.5000], [0.7470, 0.2530, 0.5000], [0.0000, 0.5000, 0.0000], [0.2445, 0.2445, 0.5000], [0.5000, 0.0000, 0.0000], [0.5000, 0.5000, 0.0000], [0.7555, 0.7555, 0.5000]]
}



Quick one: least stable of them? model A



Model A:
{
  "formula": "Al4Tc",
  "functional": "PBE",
  "state": "optimized geometry",
  "spacegroup": "Pm-3m",
  "cell": [[4.7788, 0.0000, 0.0000], [0.0000, 4.7788, 0.0000], [0.0000, 0.0000, 4.7788]],
  "species": ["Al", "Al", "Al", "Al", "Tc"],
  "fractional_positions": [[0.0000, 0.0000, 0.0000], [0.0000, 0.5000, 0.5000], [0.5000, 0.0000, 0.5000], [0.5000, 0.5000, 0.0000], [0.5000, 0.5000, 0.5000]]
}



Model B:
{
  "formula": "Al4Tc",
  "functional": "PBE",
  "state": "optimized geometry",
  "spacegroup": "I4/mmm",
  "cell": [[-1.7505, 1.7505, 6.7381], [1.7505, -1.7505, 6.7381], [1.7505, 1.7505, -6.7381]],
  "species": ["Al", "Al", "Al", "Al", "Tc"],
  "fractional_positions": [[0.0922, 0.0922, 0.0000], [0.2500, 0.7500, 0.5000], [0.7500, 0.2500, 0.5000], [0.9078, 0.9078, 0.0000], [0.5000, 0.5000, 0.0000]]
}



Quick one: least stable of them? model A



Model A:
{
  "formula": "Al4Tc",
  "functional": "PBE",
  "state": "optimized geometry",
  "spacegroup": "Im-3m",
  "cell": [[-2.8932, 2.8932, 2.8932], [2.8932, -2.8932, 2.8932], [2.8932, 2.8932, -2.8932]],
  "species": ["Al", "Al", "Al", "Al", "Tc"],
  "fractional_positions": [[0.0000, 0.0000, 0.5000], [0.0000, 0.5000, 0.0000], [0.5000, 0.0000, 0.0000], [0.5000, 0.5000, 0.5000], [0.0000, 0.0000, 0.0000]]
}



Model B:
{
  "formula": "Al4Tc",
  "functional": "PBE",
  "state": "optimized geometry",
  "spacegroup": "I4/m",
  "cell": [[-3.2759, 3.2759, 1.7293], [3.2759, -3.2759, 1.7293], [3.2759, 3.2759, -1.7293]],
  "species": ["Al", "Al", "Al", "Al", "Tc"],
  "fractional_positions": [[0.1039, 0.7028, 0.8066], [0.2972, 0.1039, 0.4011], [0.7028, 0.8961, 0.5989], [0.8961, 0.2972, 0.1934], [0.5000, 0.5000, 0.0000]]
}



Model C:
{
  "formula": "Al4Tc",
  "functional": "PBE",
  "state": "optimized geometry",
  "spacegroup": "I4/mmm",
  "cell": [[-3.1425, 3.1425, 2.3182], [3.1425, -3.1425, 2.3182], [3.1425, 3.1425, -2.3182]],
  "species": ["Al", "Al", "Al", "Al", "Tc"],
  "fractional_positions": [[0.2016, 0.2016, 0.4033], [0.2016, 0.7984, 0.0000], [0.7984, 0.2016, 0.0000], [0.7984, 0.7984, 0.5967], [0.5000, 0.5000, 0.0000]]
}



Quick one: least stable of them? model C



Model A:
{
  "formula": "Al4Tc5",
  "functional": "PBE",
  "state": "optimized geometry",
  "spacegroup": "I4/mmm",
  "cell": [[-4.5974, 4.5974, 1.5694], [4.5974, -4.5974, 1.5694], [4.5974, 4.5974, -1.5694]],
  "species": ["Al", "Al", "Al", "Al", "Tc", "Tc", "Tc", "Tc", "Tc"],
  "fractional_positions": [[0.0000, 0.3210, 0.3210], [0.0000, 0.6790, 0.6790], [0.3210, 0.0000, 0.3210], [0.6790, 0.0000, 0.6790], [0.0000, 0.0000, 0.0000], [0.3329, 0.3329, 0.6659], [0.3329, 0.6671, 0.0000], [0.6671, 0.3329, 0.0000], [0.6671, 0.6671, 0.3341]]
}



Model B:
{
  "formula": "Al4Tc5",
  "functional": "PBE",
  "state": "optimized geometry",
  "spacegroup": "P6_3/mcm",
  "cell": [[7.7063, 0.0000, 0.0000], [-3.8531, 6.6738, 0.0000], [0.0000, 0.0000, 5.0384]],
  "species": ["Al", "Al", "Al", "Al", "Al", "Al", "Al", "Al", "Tc", "Tc", "Tc", "Tc", "Tc", "Tc", "Tc", "Tc", "Tc", "Tc"],
  "fractional_positions": [[0.0000, 0.0000, 0.0000], [0.0000, 0.0000, 0.5000], [0.0000, 0.3814, 0.2500], [0.0000, 0.6186, 0.7500], [0.3814, 0.0000, 0.2500], [0.3814, 0.3814, 0.7500], [0.6186, 0.0000, 0.7500], [0.6186, 0.6186, 0.2500], [0.0000, 0.2883, 0.7500], [0.0000, 0.7117, 0.2500], [0.2883, 0.0000, 0.7500], [0.2883, 0.2883, 0.2500], [0.3333, 0.6667, 0.0000], [0.3333, 0.6667, 0.5000], [0.6667, 0.3333, 0.0000], [0.6667, 0.3333, 0.5000], [0.7117, 0.0000, 0.2500], [0.7117, 0.7117, 0.7500]]
}



Quick one: least stable of them? model A



Model A:
{
  "formula": "Al2Tc3",
  "functional": "PBE",
  "state": "optimized geometry",
  "spacegroup": "P-3m1",
  "cell": [[4.1474, 0.0000, 0.0000], [-2.0737, 3.5918, 0.0000], [0.0000, 0.0000, 5.2420]],
  "species": ["Al", "Al", "Tc", "Tc", "Tc"],
  "fractional_positions": [[0.3333, 0.6667, 0.3629], [0.6667, 0.3333, 0.6371], [0.0000, 0.0000, 0.5000], [0.3333, 0.6667, 0.8837], [0.6667, 0.3333, 0.1163]]
}



Model B:
{
  "formula": "Al2Tc3",
  "functional": "PBE",
  "state": "optimized geometry",
  "spacegroup": "Fddd",
  "cell": [[0.0000, 4.4362, 6.6657], [2.4529, 0.0000, 6.6657], [2.4529, 4.4362, 0.0000]],
  "species": ["Al", "Al", "Al", "Al", "Tc", "Tc", "Tc", "Tc", "Tc", "Tc"],
  "fractional_positions": [[0.0717, 0.0717, 0.6783], [0.3217, 0.3217, 0.9283], [0.6783, 0.6783, 0.0717], [0.9283, 0.9283, 0.3217], [0.1250, 0.1250, 0.1250], [0.2680, 0.2680, 0.4820], [0.4820, 0.4820, 0.2680], [0.5180, 0.5180, 0.7320], [0.7320, 0.7320, 0.5180], [0.8750, 0.8750, 0.8750]]
}



Quick one: least stable of them? model A



Model A:
{
  "formula": "AlTc3Te",
  "functional": "PBE",
  "state": "optimized geometry",
  "spacegroup": "Pm-3m",
  "cell": [[4.7984, 0.0000, 0.0000], [0.0000, 4.7984, 0.0000], [0.0000, 0.0000, 4.7984]],
  "species": ["Al", "Tc", "Tc", "Tc", "Te"],
  "fractional_positions": [[0.0000, 0.0000, 0.0000], [0.0000, 0.5000, 0.5000], [0.5000, 0.0000, 0.5000], [0.5000, 0.5000, 0.0000], [0.5000, 0.5000, 0.5000]]
}



Model B:
{
  "formula": "AlTc3Te",
  "functional": "PBE",
  "state": "optimized geometry",
  "spacegroup": "Pm-3m",
  "cell": [[4.5319, 0.0000, 0.0000], [0.0000, 4.5319, 0.0000], [0.0000, 0.0000, 4.5319]],
  "species": ["Al", "Tc", "Tc", "Tc", "Te"],
  "fractional_positions": [[0.0000, 0.0000, 0.0000], [0.0000, 0.0000, 0.5000], [0.0000, 0.5000, 0.0000], [0.5000, 0.0000, 0.0000], [0.5000, 0.5000, 0.5000]]
}



Quick one: least stable of them? model A



Model A:
{
  "formula": "AlTcTe3",
  "functional": "PBE",
  "state": "optimized geometry",
  "spacegroup": "Pm-3m",
  "cell": [[5.1451, 0.0000, 0.0000], [0.0000, 5.1451, 0.0000], [0.0000, 0.0000, 5.1451]],
  "species": ["Al", "Tc", "Te", "Te", "Te"],
  "fractional_positions": [[0.0000, 0.0000, 0.0000], [0.5000, 0.5000, 0.5000], [0.0000, 0.0000, 0.5000], [0.0000, 0.5000, 0.0000], [0.5000, 0.0000, 0.0000]]
}



Model B:
{
  "formula": "AlTcTe3",
  "functional": "PBE",
  "state": "optimized geometry",
  "spacegroup": "Pm-3m",
  "cell": [[5.2746, 0.0000, 0.0000], [0.0000, 5.2746, 0.0000], [0.0000, 0.0000, 5.2746]],
  "species": ["Al", "Tc", "Te", "Te", "Te"],
  "fractional_positions": [[0.0000, 0.0000, 0.0000], [0.5000, 0.5000, 0.5000], [0.0000, 0.5000, 0.5000], [0.5000, 0.0000, 0.5000], [0.5000, 0.5000, 0.0000]]
}



Quick one: least stable of them? model A



Model A:
{
  "formula": "ThAlTc",
  "functional": "PBE",
  "state": "optimized geometry",
  "spacegroup": "Pnma",
  "cell": [[7.4310, 0.0000, 0.0000], [0.0000, 4.8124, 0.0000], [0.0000, 0.0000, 7.0305]],
  "species": ["Th", "Th", "Th", "Th", "Al", "Al", "Al", "Al", "Tc", "Tc", "Tc", "Tc"],
  "fractional_positions": [[0.0367, 0.2500, 0.1968], [0.4633, 0.7500, 0.6968], [0.5367, 0.2500, 0.3032], [0.9633, 0.7500, 0.8032], [0.1924, 0.2500, 0.6249], [0.3076, 0.7500, 0.1249], [0.6924, 0.2500, 0.8751], [0.8076, 0.7500, 0.3751], [0.1519, 0.7500, 0.4656], [0.3481, 0.2500, 0.9656], [0.6519, 0.7500, 0.0344], [0.8481, 0.2500, 0.5344]]
}



Model B:
{
  "formula": "ThAlTc",
  "functional": "PBE",
  "state": "optimized geometry",
  "spacegroup": "I4mm",
  "cell": [[-1.6667, 1.6667, 5.5969], [1.6667, -1.6667, 5.5969], [1.6667, 1.6667, -5.5969]],
  "species": ["Th", "Al", "Tc"],
  "fractional_positions": [[0.0000, 0.0000, 0.0000], [0.2765, 0.2765, 0.0000], [0.6696, 0.6696, 0.0000]]
}



Quick one: least stable of them? model B